Record 1
## CrCdInRh (GGA-PBE)

Data for a relaxed CrCdInRh crystal.

Properties
Formation energy in eV/atom: 0.01
Symmetry: No. 216

Cell: 4.612 4.612 4.612 Å, 60.00 60.00 60.00°
Atoms (fractional coordinates):
In  0.750  0.750  0.750
Rh  0.000  0.000  0.000
Cr  0.500  0.500  0.500
Cd  0.250  0.250  0.250

Record 2
## MgCoCu2 (GGA-PBE)

Data for a relaxed MgCoCu2 crystal.

Properties
Formation energy in eV/atom: 0.12
Symmetry: No. 12

Cell: 4.592 4.592 4.553 Å, 79.63 79.63 33.67°
Atoms (fractional coordinates):
Mg  0.750  0.750  0.750
Co  0.250  0.250  0.250
Cu  0.509  0.509  0.482
Cu  0.991  0.991  0.018

Record 3
## HfCuH2Br (GGA-PBE)

Data for a relaxed HfCuH2Br crystal.

Properties
Symmetry: No. 123

Cell: 3.630 7.853 3.630 Å, 90.00 90.00 90.00°
Atoms (fractional coordinates):
H  0.000  0.000  0.500
H  0.500  0.000  0.000
Br  0.000  0.000  0.000
Cu  0.000  0.500  0.000
Hf  0.500  0.500  0.500

Record 4
## Nd4Sm5Th2 (GGA-PBE)

Data for a relaxed Nd4Sm5Th2 crystal.

Properties
Formation energy in eV/atom: 0.14
Symmetry: No. 10
Energy above the lowest structure with this stoichiometry in eV/f.u.: 0.000

Cell: 3.519 9.025 11.999 Å, 85.81 90.00 90.00°
Atoms (fractional coordinates):
Nd  0.500  0.845  0.895
Nd  0.500  0.695  0.454
Nd  0.500  0.305  0.546
Nd  0.500  0.155  0.105
Sm  0.000  0.421  0.286
Sm  0.000  0.802  0.169
Sm  0.000  0.198  0.831
Sm  0.000  0.579  0.714
Sm  0.000  0.500  0.000
Th  0.000  0.044  0.370
Th  0.000  0.956  0.630

Record 5
## Sr3Li2ReO6 (GGA-PBE)

Data for a relaxed Sr3Li2ReO6 crystal.

Properties
Symmetry: No. 164
Raw formation energy in eV per atom: -2.10

Cell: 5.712 5.712 6.514 Å, 90.00 90.00 120.00°
Atoms (fractional coordinates):
Re  0.000  0.000  0.500
O  0.324  0.162  0.681
O  0.838  0.676  0.681
O  0.676  0.838  0.319
O  0.162  0.838  0.319
O  0.838  0.162  0.681
O  0.162  0.324  0.319
Li  0.333  0.667  0.197
Li  0.667  0.333  0.803
Sr  0.667  0.333  0.375
Sr  0.000  0.000  0.000
Sr  0.333  0.667  0.625

Record 6
## PuICl (GGA-PBE)

Data for a relaxed PuICl crystal.

Properties
Symmetry: No. 156
Raw formation energy in eV per atom: -1.41
Energy above the lowest structure with this stoichiometry in eV/f.u.: 0.012

Cell: 4.226 4.226 7.178 Å, 90.00 90.00 120.00°
Atoms (fractional coordinates):
Pu  0.667  0.333  0.362
Cl  0.333  0.667  0.559
I  0.000  0.000  0.079

Record 7
## Li4Hg3Pb2 (GGA-PBE)

Data for a relaxed Li4Hg3Pb2 crystal.

Properties
Formation energy in eV/atom: -0.26
Symmetry: No. 2
Energy above the lowest structure with this stoichiometry in eV/f.u.: 0.000

Cell: 5.150 4.611 9.097 Å, 90.00 81.41 63.36°
Atoms (fractional coordinates):
Li  0.939  0.030  0.337
Li  0.061  0.970  0.663
Li  0.737  0.633  0.882
Li  0.263  0.367  0.118
Pb  0.406  0.298  0.783
Pb  0.594  0.702  0.217
Hg  0.692  0.654  0.567
Hg  0.000  0.000  0.000
Hg  0.308  0.346  0.433

Record 8
## KPdSO4 (GGA-PBE)

Data for a relaxed KPdSO4 crystal.

Properties
Symmetry: No. 216
Raw formation energy in eV per atom: -0.99

Cell: 6.050 6.050 6.050 Å, 60.00 60.00 60.00°
Atoms (fractional coordinates):
O  0.351  0.948  0.351
O  0.948  0.351  0.351
O  0.351  0.351  0.948
O  0.351  0.351  0.351
S  0.250  0.250  0.250
K  0.750  0.750  0.750
Pd  0.500  0.500  0.500

| no. | total energy (eV for the cell shown) | M_tot (μB/cell) |
| --- | --- | --- |
| 1 | -20.59 | 3.5 |
| 2 | -16.40 | 1.0 |
| 3 | -17.54 | 0.0 |
| 4 | -55.98 | 0.0 |
| 5 | -76.29 | 1.4 |
| 6 | -21.97 | 6.0 |
| 7 | -18.28 | 0.0 |
| 8 | -37.21 | 1.0 |